No. 1
VASP calculation (PBE) on an optimized crystal structure of TbScW.

Geometry as CIF:
```
data_TbScW
_space_group_name_H-M_alt 'P 1'
_space_group_IT_number 1
_cell_length_a 4.722
_cell_length_b 4.722
_cell_length_c 4.722
_cell_angle_alpha 60.00
_cell_angle_beta 60.00
_cell_angle_gamma 60.00
loop_
_space_group_symop_operation_xyz
'x,y,z'
loop_
_atom_site_label
_atom_site_type_symbol
_atom_site_fract_x
_atom_site_fract_y
_atom_site_fract_z
_atom_site_occupancy
W1 W 0.000 0.000 0.000 1
Tb1 Tb 0.750 0.750 0.750 1
Sc1 Sc 0.250 0.250 0.250 1
```

## Properties
Energy of formation, eV/f.u.: 2.6
Symmetry: F-43m
E, eV/cell: -21.3
Energy above the lowest structure with this stoichiometry, meV per atom: 0


No. 2
VASP calculation (PBE) on an optimized crystal structure of TbScZn.

Geometry as CIF:
```
data_TbScZn
_space_group_name_H-M_alt 'P 1'
_space_group_IT_number 1
_cell_length_a 4.792
_cell_length_b 4.792
_cell_length_c 4.792
_cell_angle_alpha 60.00
_cell_angle_beta 60.00
_cell_angle_gamma 60.00
loop_
_space_group_symop_operation_xyz
'x,y,z'
loop_
_atom_site_label
_atom_site_type_symbol
_atom_site_fract_x
_atom_site_fract_y
_atom_site_fract_z
_atom_site_occupancy
Tb1 Tb 0.000 0.000 0.000 1
Zn1 Zn 0.250 0.250 0.250 1
Sc1 Sc 0.500 0.500 0.500 1
```

## Properties
Energy of formation, eV/f.u.: 0.1
Symmetry: F-43m
E, eV/cell: -12.1
Energy above the lowest structure with this stoichiometry, meV per atom: 0


No. 3
VASP calculation (PBE) on an optimized crystal structure of TbZrSc.

Geometry as CIF:
```
data_TbZrSc
_space_group_name_H-M_alt 'P 1'
_space_group_IT_number 1
_cell_length_a 5.023
_cell_length_b 5.023
_cell_length_c 5.023
_cell_angle_alpha 60.00
_cell_angle_beta 60.00
_cell_angle_gamma 60.00
loop_
_space_group_symop_operation_xyz
'x,y,z'
loop_
_atom_site_label
_atom_site_type_symbol
_atom_site_fract_x
_atom_site_fract_y
_atom_site_fract_z
_atom_site_occupancy
Tb1 Tb 0.250 0.250 0.250 1
Zr1 Zr 0.750 0.750 0.750 1
Sc1 Sc 0.000 0.000 0.000 1
```

## Properties
Energy of formation, eV/f.u.: 2.6
Symmetry: F-43m
E, eV/cell: -16.9


No. 4
VASP calculation (PBE) on an optimized crystal structure of ScTc.

Geometry as CIF:
```
data_ScTc
_space_group_name_H-M_alt 'P 1'
_space_group_IT_number 1
_cell_length_a 9.191
_cell_length_b 9.191
_cell_length_c 9.191
_cell_angle_alpha 141.90
_cell_angle_beta 141.90
_cell_angle_gamma 54.97
loop_
_space_group_symop_operation_xyz
'x,y,z'
loop_
_atom_site_label
_atom_site_type_symbol
_atom_site_fract_x
_atom_site_fract_y
_atom_site_fract_z
_atom_site_occupancy
Tc1 Tc 0.396 0.396 0.293 1
Tc2 Tc 0.896 0.604 0.000 1
Tc3 Tc 0.146 0.354 0.500 1
Tc4 Tc 0.104 0.104 0.707 1
Tc5 Tc 0.854 0.646 0.500 1
Tc6 Tc 0.354 0.854 0.207 1
Tc7 Tc 0.646 0.146 0.793 1
Tc8 Tc 0.604 0.896 0.000 1
Sc1 Sc 0.125 0.478 0.853 1
Sc2 Sc 0.125 0.978 0.353 1
Sc3 Sc 0.522 0.375 0.647 1
Sc4 Sc 0.625 0.272 0.147 1
Sc5 Sc 0.625 0.772 0.647 1
Sc6 Sc 0.022 0.375 0.147 1
Sc7 Sc 0.728 0.875 0.353 1
Sc8 Sc 0.228 0.875 0.853 1
```

## Properties
Energy of formation, eV/f.u.: 0.7
Symmetry: I4_1/acd
E, eV/cell: -127.8